The following is a DFT calculation (PBE-GGA) of crystalline SrAl2Ni at its relaxed geometry.

It has space group Immm (No. 71), with a = 3.0024 Å, b = 5.1597 Å, c = 10.2760 Å, α = 90.00°, β = 90.00° and γ = 90.00°. The asymmetric unit holds Sr at (0.0000, 0.0000, 0.0000), Al at (0.0000, 0.5000, 0.1987) and Ni at (0.0000, 0.0000, 0.5000).

As for the crystal system: orthorhombic. As for the electronic total energy: -3.760 eV per atom. Its energy relative to the elements is -0.09 eV/f.u. Its volume is 159 Å³ per cell.



The following is a DFT calculation (PBE-GGA) of crystalline NdGdN at its relaxed geometry.

It has space group F-43m (No. 216), with a = 6.1684 Å, b = 6.1684 Å, c = 6.1684 Å, α = 90.00°, β = 90.00° and γ = 90.00°. The asymmetric unit holds Nd at (0.0000, 0.0000, 0.0000), Gd at (0.0000, 0.0000, 0.5000) and N at (0.2500, 0.2500, 0.7500).

As for the crystal system: cubic. As for the electronic total energy: -9.389 eV per atom. As for the raw formation energy: -0.99 eV/f.u. Its volume is 235 Å³ per cell.



The following is a DFT calculation (PBE-GGA) of crystalline Re2SiAg at its relaxed geometry.

It has space group R3m (No. 160, hexagonal axes), with a = 2.8192 Å, b = 2.8192 Å, c = 26.7883 Å, α = 90.00°, β = 90.00° and γ = 120.00°. The asymmetric unit holds Re at (0.0000, 0.0000, 0.0000), Re at (0.0000, 0.0000, 0.2554), Si at (0.0000, 0.0000, 0.5122) and Ag at (0.0000, 0.0000, 0.7602).

As for the crystal system: trigonal. As for the electronic total energy: -8.128 eV per atom. As for the raw formation energy: 0.66 eV/f.u. Its volume is 184 Å³ per cell.



The following is a DFT calculation (PBE-GGA) of crystalline NaLiNpI6 at its relaxed geometry.

It has space group P-31c (No. 163), with a = 7.6368 Å, b = 7.6368 Å, c = 14.4762 Å, α = 90.00°, β = 90.00° and γ = 120.00°. The asymmetric unit holds Na at (0.0000, 0.0000, 0.0000), Li at (0.3333, 0.6667, 0.2500), Np at (0.3333, 0.6667, 0.7500) and I at (0.0015, 0.3532, 0.6307).

As for the crystal system: trigonal. As for the electronic total energy: -3.795 eV per atom. As for the raw formation energy: -8.68 eV/f.u. Its volume is 731 Å³ per cell.



The following is a DFT calculation (PBE-GGA) of crystalline HfSbIrW2 at its relaxed geometry.

It has space group P4/mmm (No. 123), with a = 4.7824 Å, b = 4.7824 Å, c = 5.1351 Å, α = 90.00°, β = 90.00° and γ = 90.00°. The asymmetric unit holds Hf at (0.0000, 0.0000, 0.0000), Sb at (0.0000, 0.0000, 0.5000), Ir at (0.5000, 0.5000, 0.5000) and W at (0.0000, 0.5000, 0.0000).

As for the crystal system: tetragonal. As for the electronic total energy: -7.302 eV per atom. As for the raw formation energy: 12.33 eV/f.u. Its volume is 117 Å³ per cell.



The following is a DFT calculation (PBE-GGA) of crystalline CuReHg2Ir at its relaxed geometry.

It has space group P4/mmm (No. 123), with a = 5.2175 Å, b = 5.2175 Å, c = 4.7765 Å, α = 90.00°, β = 90.00° and γ = 90.00°. The asymmetric unit holds Cu at (0.0000, 0.0000, 0.0000), Re at (0.5000, 0.5000, 0.0000), Hg at (0.0000, 0.5000, 0.5000) and Ir at (0.5000, 0.5000, 0.5000).

As for the crystal system: tetragonal. As for the electronic total energy: -3.793 eV per atom. Its energy relative to the elements is 7.05 eV/f.u. Its volume is 130 Å³ per cell.



The following is a DFT calculation (PBE-GGA) of crystalline MgPaSe2N at its relaxed geometry.

It has space group P4/nmm (No. 129, origin choice 2), with a = 3.8544 Å, b = 3.8544 Å, c = 13.2767 Å, α = 90.00°, β = 90.00° and γ = 90.00°. The asymmetric unit holds Mg at (0.2500, 0.2500, 0.0921), Pa at (0.2500, 0.2500, 0.5927), Se at (0.2500, 0.2500, 0.3021), Se at (0.2500, 0.2500, 0.8886) and N at (0.2500, 0.7500, 0.5000).

As for the crystal system: tetragonal. As for the electronic total energy: -6.813 eV per atom. As for the raw formation energy: -7.68 eV/f.u. Its volume is 197 Å³ per cell.



The following is a DFT calculation (PBE-GGA) of crystalline Cd12Sn5Hg2 at its relaxed geometry.

It has space group C2/m (No. 12), with a = 15.8584 Å, b = 8.5850 Å, c = 8.4841 Å, α = 90.00°, β = 117.79° and γ = 90.00°. The asymmetric unit holds Cd at (0.0114, 0.0000, 0.3196), Cd at (0.0726, 0.5000, 0.2352), Cd at (0.1291, 0.2888, 0.7784), Cd at (0.1906, 0.1887, 0.3137), Sn at (0.0000, 0.5000, 0.5000), Sn at (0.1947, 0.0000, 0.0141), Sn at (0.2063, 0.0000, 0.6383) and Hg at (0.0000, 0.2174, 0.0000).

As for the crystal system: monoclinic. As for the electronic total energy: -1.582 eV per atom. Its energy relative to the elements is 1.55 eV/f.u. Its volume is 1022 Å³ per cell.



The following is a DFT calculation (PBE-GGA) of crystalline Ce2HgIr at its relaxed geometry.

It has space group R3m (No. 160, hexagonal axes), with a = 4.1115 Å, b = 4.1115 Å, c = 22.9709 Å, α = 90.00°, β = 90.00° and γ = 120.00°. The asymmetric unit holds Ce at (0.0000, 0.0000, 0.0000), Ce at (0.0000, 0.0000, 0.2006), Hg at (0.0000, 0.0000, 0.4328) and Ir at (0.0000, 0.0000, 0.5999).

As for the crystal system: trigonal. As for the electronic total energy: -5.777 eV per atom. Its energy relative to the elements is -2.08 eV/f.u. Its volume is 336 Å³ per cell.



The following is a DFT calculation (PBE-GGA) of crystalline LiDyEr2S5 at its relaxed geometry.

It has space group Cmc2_1 (No. 36), with a = 3.8697 Å, b = 16.0886 Å, c = 11.7841 Å, α = 90.00°, β = 90.00° and γ = 90.00°. The asymmetric unit holds Li at (0.0000, 0.0123, 0.0000), Dy at (0.0000, 0.3035, 0.5178), Er at (0.0000, 0.3769, 0.8078), Er at (0.0000, 0.3920, 0.2011), S at (0.0000, 0.0002, 0.3033), S at (0.0000, 0.1364, 0.5226), S at (0.0000, 0.1927, 0.8564), S at (0.0000, 0.2127, 0.1815) and S at (0.0000, 0.4550, 0.5939).

As for the crystal system: orthorhombic. As for the electronic total energy: -5.882 eV per atom. As for the raw formation energy: -16.66 eV/f.u. Its volume is 734 Å³ per cell.



The following is a DFT calculation (PBE-GGA) of crystalline Rb4CdF7 at its relaxed geometry.

It has space group C2/m (No. 12), with a = 13.9046 Å, b = 4.5057 Å, c = 10.9414 Å, α = 90.00°, β = 129.17° and γ = 90.00°. The asymmetric unit holds Rb at (0.1259, 0.0000, 0.3606), Rb at (0.1775, 0.5000, 0.7784), Cd at (0.0000, 0.5000, 0.0000), F at (0.0000, 0.0000, 0.0000), F at (0.0935, 0.5000, 0.4686), F at (0.1208, 0.0000, 0.8889) and F at (0.1728, 0.5000, 0.2292).

As for the crystal system: monoclinic. As for the electronic total energy: -3.764 eV per atom. As for the raw formation energy: -27.28 eV/f.u. Its volume is 531 Å³ per cell.



The following is a DFT calculation (PBE-GGA) of crystalline YZrU2As4 at its relaxed geometry.

It has space group P2/m (No. 10), with a = 6.9991 Å, b = 4.0055 Å, c = 7.0034 Å, α = 90.00°, β = 109.05° and γ = 90.00°. The asymmetric unit holds Y at (0.0000, 0.0000, 0.0000), Zr at (0.5000, 0.5000, 0.0000), U at (0.0000, 0.5000, 0.5000), U at (0.5000, 0.0000, 0.5000), As at (0.2551, 0.5000, 0.2468) and As at (0.2586, 0.0000, 0.7574).

As for the crystal system: monoclinic. As for the electronic total energy: -8.045 eV per atom. Its energy relative to the elements is -8.18 eV/f.u. Its volume is 186 Å³ per cell.



Q: The highest electronic total energy belongs to which entry?
A: Cd12Sn5Hg2



Q: electronic total energy of number 9 (Ce2HgIr)?
A: -5.777 eV per atom